Record 1
A plane-wave DFT calculation with PBE was carried out for crystalline Dy4Al24Pd9 at its relaxed geometry.

a b c (Å): 7.5426 7.5467 13.2042
angles (deg): 79.11 84.53 60.08
With the nearest neighbours (Å) after each atom.
Space group P-1 (No. 2)
Symmetry-distinct sites (fractional):
Dy 0.0015 0.2315 0.3092 [2 per cell]  11 Al 3.07-3.24, 3 Pd 3.32-3.34
Dy 0.3320 0.5618 0.3092 [2 per cell]  11 Al 3.07-3.24, 3 Pd 3.32-3.35
Al 0.9998 0.1478 0.5558 [2 per cell]  3 Pd 2.56-2.62, 3 Al 2.76-2.84
Al 0.9996 0.3137 0.0592 [2 per cell]  4 Pd 2.56-2.69
Al 0.0069 0.0564 0.8296 [2 per cell]  3 Pd 2.54-2.56
Al 0.1300 0.3086 0.6849 [2 per cell]  2 Pd 2.52-2.59, 4 Al 2.69-2.76
Al 0.3333 0.0205 0.9390 [2 per cell]  4 Pd 2.57-2.77, 3 Al 2.83-2.84
Al 0.3329 0.1825 0.4539 [2 per cell]  3 Pd 2.58-2.64, 5 Al 2.80-2.84
Al 0.3334 0.6464 0.0593 [2 per cell]  4 Pd 2.56-2.69
Al 0.3344 0.3826 0.8299 [2 per cell]  3 Pd 2.54-2.56, 1 Al 2.84
Al 0.3337 0.4817 0.5557 [2 per cell]  3 Pd 2.56-2.62, 3 Al 2.76-2.84
Al 0.3360 0.8974 0.6837 [2 per cell]  2 Pd 2.53-2.59, 4 Al 2.69-2.82
Al 0.3405 0.2692 0.1692 [2 per cell]  3 Pd 2.55-2.56, 1 Al 2.83
Al 0.4580 0.8971 0.3163 [2 per cell]  2 Pd 2.53-2.59, 4 Al 2.69-2.82
Pd 0.0000 0.5000 0.5000 [1 per cell]  8 Al 2.58-2.62
Pd 0.0078 0.6126 0.1380 [2 per cell]  8 Al 2.52-2.77
Pd 0.3253 0.9537 0.1375 [2 per cell]  8 Al 2.53-2.76
Pd 0.3284 0.8286 0.5000 [2 per cell]  8 Al 2.56-2.64
Pd 0.3331 0.7048 0.8621 [2 per cell]  8 Al 2.53-2.76

## Properties
For the calculated total energy, the calculation gives -4.903 eV/atom. The value obtained for the energy of formation is -26.46 eV/f.u.


Record 2
A plane-wave DFT calculation with PBE was carried out for crystalline DyAl6Pd4 at its relaxed geometry.

a b c (Å): 7.2638 7.2638 4.0640
angles (deg): 90.00 90.00 120.00
With the nearest neighbours (Å) after each atom.
Space group P-6m2 (No. 187)
Symmetry-distinct sites (fractional):
Dy 0.0000 0.0000 0.0000 [1 per cell]  6 Al 3.23, 6 Pd 3.24
Al 0.2001 0.4001 0.5000 [3 per cell]  4 Pd 2.52-2.63
Al 0.5344 0.0687 0.0000 [3 per cell]  5 Pd 2.53-2.63
Pd 0.3333 0.6667 0.0000 [1 per cell]  9 Al 2.53-2.63
Pd 0.4013 0.2007 0.5000 [3 per cell]  6 Al 2.52-2.63

## Properties
For the calculated total energy, the calculation gives -5.133 eV/atom. The value obtained for the energy of formation is -8.63 eV/f.u.


Record 3
A plane-wave DFT calculation with PBE was carried out for crystalline DyAl2Pd at its relaxed geometry.

a b c (Å): 4.2642 4.2642 15.2575
angles (deg): 90.00 90.00 120.00
With the nearest neighbours (Å) after each atom.
Space group R-3m (No. 166, hexagonal axes)
Symmetry-distinct sites (fractional):
Dy 0.0000 0.0000 0.0000 [3 per cell]  8 Al 3.09-3.22
Al 0.0000 0.0000 0.2112 [6 per cell]  3 Pd 2.55, 3 Al 2.81
Pd 0.0000 0.0000 0.5000 [3 per cell]  6 Al 2.55

## Properties
For the calculated total energy, the calculation gives -4.985 eV/atom. The value obtained for the energy of formation is -2.66 eV/f.u.


- What is the calculated total energy in the first record?
  -4.903 eV/atom


- Which formula does entry 3 have?
  DyAl2Pd